Below is a geometry-optimized ErPuPa structure, with properties calculated at the GGA-PBE level.

The structure in POSCAR format:
```
ErPuPa
1.0
3.4047 0.0000 0.0000
0.0000 3.4047 0.0000
-1.7024 -1.7024 6.8590
Pu Pa Er
1 1 1
direct
0.6823 0.6823 0.3646 Pu
0.3242 0.3242 0.6484 Pa
0.9935 0.9935 0.9870 Er
```

Computed properties:
E_form, eV/atom: 0.1185
ρ, Mg/m³: 13.4
Relative energy among the computed polymorphs, meV/atom: 0

---

Below is a geometry-optimized ErPuPa structure, with properties calculated at the GGA-PBE level.

The structure in POSCAR format:
```
ErPuPa
1.0
3.3014 0.0000 0.0000
0.0000 5.2413 0.0000
0.0000 -2.6206 4.5391
Pa Pu Er
1 1 1
direct
0.1667 0.6667 0.3333 Pa
0.1666 0.0000 0.0000 Pu
0.6667 0.3333 0.6667 Er
```

Computed properties:
E_form, eV/atom: 0.2079
ρ, Mg/m³: 13.6
Relative energy among the computed polymorphs, meV/atom: 89

---

Below is a geometry-optimized ErPu2PaS4 structure, with properties calculated at the GGA-PBE level.

The structure in POSCAR format:
```
ErPu2PaS4
1.0
3.8874 0.0000 0.0000
0.0000 6.7927 0.1370
0.0000 -2.3542 6.3364
Pu S Er Pa
2 4 1 1
direct
0.5000 0.0000 0.5000 Pu
0.0000 0.5000 0.5000 Pu
0.5000 0.7540 0.7543 S
0.5000 0.2460 0.2457 S
0.0000 0.2469 0.7508 S
0.0000 0.7531 0.2492 S
0.0000 0.0000 0.0000 Er
0.5000 0.5000 0.0000 Pa
```

Computed properties:
Raw formation energy, eV/atom: -1.780
ρ, Mg/m³: 10.0

---

Below is a geometry-optimized Er2PuPaS4 structure, with properties calculated at the GGA-PBE level.

The structure in POSCAR format:
```
Er2PuPaS4
1.0
3.8478 0.0000 0.0000
0.0000 6.7022 0.1227
0.0000 -2.3373 6.4098
S Er Pa Pu
4 2 1 1
direct
0.0000 0.2481 0.7424 S
0.0000 0.7519 0.2576 S
0.5000 0.2533 0.2570 S
0.5000 0.7467 0.7430 S
0.5000 0.0000 0.5000 Er
0.0000 0.5000 0.5000 Er
0.5000 0.5000 0.0000 Pa
0.0000 0.0000 0.0000 Pu
```

Computed properties:
Raw formation energy, eV/atom: -1.824
ρ, Mg/m³: 9.4

---

Below is a geometry-optimized ErPuPa2S4 structure, with properties calculated at the GGA-PBE level.

The structure in POSCAR format:
```
ErPuPa2S4
1.0
3.8240 0.0000 0.0000
0.0000 6.6221 0.1129
0.0000 -2.3198 6.5532
S Pa Er Pu
4 2 1 1
direct
0.0000 0.2548 0.7565 S
0.5000 0.2505 0.2447 S
0.0000 0.7452 0.2435 S
0.5000 0.7495 0.7553 S
0.0000 0.5000 0.5000 Pa
0.5000 0.0000 0.5000 Pa
0.5000 0.5000 0.0000 Er
0.0000 0.0000 0.0000 Pu
```

Computed properties:
Raw formation energy, eV/atom: -1.726
ρ, Mg/m³: 10.0

---

Below is a geometry-optimized Er2PuPaSb4 structure, with properties calculated at the GGA-PBE level.

The structure in POSCAR format:
```
Er2PuPaSb4
1.0
4.3797 0.0000 0.0000
0.0000 7.5748 0.1332
0.0000 -2.6443 7.0881
Pu Sb Pa Er
1 4 1 2
direct
0.0000 0.0000 0.0000 Pu
0.5000 0.2535 0.2533 Sb
0.0000 0.2511 0.7468 Sb
0.0000 0.7489 0.2532 Sb
0.5000 0.7465 0.7467 Sb
0.5000 0.5000 0.0000 Pa
0.5000 0.0000 0.5000 Er
0.0000 0.5000 0.5000 Er
```

Computed properties:
Raw formation energy, eV/atom: -0.821
ρ, Mg/m³: 9.1

---

Q: Among the records above, which one has the lowest ρ?
A: Er2PuPaSb4

---

Copy entry 1 word for word.
Below is a geometry-optimized ErPuPa structure, with properties calculated at the GGA-PBE level.

The structure in POSCAR format:
```
ErPuPa
1.0
3.4047 0.0000 0.0000
0.0000 3.4047 0.0000
-1.7024 -1.7024 6.8590
Pu Pa Er
1 1 1
direct
0.6823 0.6823 0.3646 Pu
0.3242 0.3242 0.6484 Pa
0.9935 0.9935 0.9870 Er
```

Computed properties:
E_form, eV/atom: 0.1185
ρ, Mg/m³: 13.4
Relative energy among the computed polymorphs, meV/atom: 0